Entry 1:
# U2SbMo

A relaxed U2SbMo crystal (GGA-PBE, Alexandria via LeMat-Bulk).

a b c (Å): 4.558 4.220 4.220
angles (deg): 90.00 90.00 90.00
Fractional positions:
Sb 0.500 0.500 0.500
Mo 0.500 0.000 0.000
U 0.000 0.000 0.500
U 0.000 0.500 0.000

Output
- E (eV per atom) = -9.36
- uncorrected formation energy (eV/atom) = 0.02
- E above lowest polymorph (meV/atom) = 0

---

Entry 2:
# LaPmHo2Tm

A relaxed LaPmHo2Tm crystal (GGA-PBE, Alexandria via LeMat-Bulk).

a b c (Å): 7.217 8.439 7.138
angles (deg): 126.23 90.00 90.00
Fractional positions:
La 0.750 0.734 0.468
La 0.250 0.266 0.532
Pm 0.250 0.001 0.002
Pm 0.750 0.999 0.998
Ho 0.500 0.312 0.000
Ho 0.000 0.688 0.000
Ho 0.500 0.688 0.000
Ho 0.000 0.312 0.000
Tm 0.250 0.717 0.434
Tm 0.750 0.283 0.566

Output
- E (eV per atom) = -4.30
- E_form (kJ/mol of atoms) = 35.2

---

Entry 3:
# Nd6SmTl5

A relaxed Nd6SmTl5 crystal (GGA-PBE, Alexandria via LeMat-Bulk).

a b c (Å): 5.546 7.815 8.920
angles (deg): 90.00 71.89 90.00
Fractional positions:
Tl 0.667 0.500 0.665
Tl 0.350 0.000 0.300
Tl 0.000 0.500 0.000
Tl 0.650 0.000 0.700
Tl 0.333 0.500 0.335
Nd 0.826 0.752 0.347
Nd 0.826 0.248 0.347
Nd 0.500 0.268 0.000
Nd 0.500 0.732 0.000
Nd 0.174 0.752 0.653
Nd 0.174 0.248 0.653
Sm 0.000 0.000 0.000

Output
- E (eV per atom) = -4.05
- E_form (kJ/mol of atoms) = -27.8
- E above lowest polymorph (meV/atom) = 0

---

| no. | V (Å³/cell) | theoretical density (Mg/m³) | N(E_F) (states/eV/atom) |
| --- | --- | --- | --- |
| 1 | 81 | 14.19 | 1.971 |
| 2 | 351 | 7.41 | 1.697 |
| 3 | 367 | 9.21 | 1.280 |